A plane-wave DFT calculation with PBE+U was carried out for a relaxed BP2WO crystal.

Properties
* electronic total energy: -28.03 eV/f.u.
* DOS at the Fermi energy: 2.5 states/eV per cell

Cell and atoms, written as POSCAR:
```
BP2WO
1.0
-3.3917 0.4579 -3.4334
2.7091 -2.6437 -3.0287
-1.2176 -2.2778 0.8991
P W B O
2 1 1 1
Direct
0.5000 0.0000 0.0000 P
0.0000 0.5000 0.0000 P
0.5000 0.5000 0.5000 W
0.0000 0.0000 0.0000 B
0.0000 0.0000 0.5000 O
```